Here is a relaxed structure of Mg3NiPd from Alexandria. Energies are from PBE.

```
data_Mg3NiPd
_chemical_formula_sum 'Mg3 Ni1 Pd1'
_cell_length_a 4.856
_cell_length_b 4.856
_cell_length_c 4.856
_cell_angle_alpha 90.00
_cell_angle_beta 90.00
_cell_angle_gamma 90.00
_space_group_name_H-M_alt 'P m -3 m'
_space_group_IT_number 221
_space_group_name_Hall '-P 4 2 3'
loop_
_atom_site_label
_atom_site_fract_x
_atom_site_fract_y
_atom_site_fract_z
Mg1 0.000 0.000 0.500
Ni1 0.500 0.500 0.500
Pd1 0.000 0.000 0.000
```

## Properties
Distance to the lowest polymorph of the same formula: 0.160 eV/atom
Calculated formation energy: 6.6 kcal/mol of atoms
Calculated total energy: -14.3 eV for the cell shown

Here is a relaxed structure of K2RbHfSe from Alexandria. Energies are from PBE.

```
data_K2RbHfSe
_chemical_formula_sum 'K2 Rb1 Hf1 Se1'
_cell_length_a 6.181
_cell_length_b 6.181
_cell_length_c 5.724
_cell_angle_alpha 90.00
_cell_angle_beta 90.00
_cell_angle_gamma 90.00
_space_group_name_H-M_alt 'P 4/m m m'
_space_group_IT_number 123
_space_group_name_Hall '-P 4 2'
loop_
_atom_site_label
_atom_site_fract_x
_atom_site_fract_y
_atom_site_fract_z
K1 0.000 0.500 0.000
Rb1 0.000 0.000 0.000
Hf1 0.000 0.000 0.500
Se1 0.500 0.500 0.500
```

## Properties
Energy relative to the elements, uncorrected: 613 kJ/mol of formula units
Calculated total energy: -10.2 eV for the cell shown

Here is a relaxed structure of Sr2TlP from Alexandria. Energies are from PBE.

```
data_Sr2TlP
_chemical_formula_sum 'Sr2 Tl1 P1'
_cell_length_a 3.942
_cell_length_b 3.942
_cell_length_c 7.609
_cell_angle_alpha 90.00
_cell_angle_beta 90.00
_cell_angle_gamma 90.00
_space_group_name_H-M_alt 'P 4/m m m'
_space_group_IT_number 123
_space_group_name_Hall '-P 4 2'
loop_
_atom_site_label
_atom_site_fract_x
_atom_site_fract_y
_atom_site_fract_z
Sr1 0.000 0.000 0.208
Tl1 0.500 0.500 0.500
P1 0.500 0.500 0.000
```

## Properties
Distance to the lowest polymorph of the same formula: 0.000 eV/atom
Calculated formation energy: -15.1 kcal/mol of atoms
Calculated total energy: -13.8 eV for the cell shown